Arrangement i

Below is a geometry-optimized CsReSn structure, with properties calculated at the PBE level.

a b c (Å): 5.3349 5.3349 5.3349
angles (deg): 60.00 60.00 60.00
Closest atoms and distances in Å follow each position.
Fractional coordinates of all 3 atoms:
Cs 0.0000 0.0000 0.0000  4 Sn 3.27
Re 0.5000 0.5000 0.5000  4 Sn 3.27
Sn 0.2500 0.2500 0.2500  4 Re 3.27, 4 Cs 3.27

Results
crystal system = cubic
space group = F-43m

***

Arrangement ii

Below is a geometry-optimized CsReSn structure, with properties calculated at the PBE level.

a b c (Å): 4.8803 4.8803 4.8803
angles (deg): 60.00 60.00 60.00
Closest atoms and distances in Å follow each position.
Fractional coordinates of all 3 atoms:
Cs 0.0000 0.0000 0.0000  4 Re 2.99
Re 0.2500 0.2500 0.2500  4 Sn 2.99, 4 Cs 2.99
Sn 0.5000 0.5000 0.5000  4 Re 2.99

Results
crystal system = cubic
space group = F-43m

***

Arrangement iii

Below is a geometry-optimized CsReSn structure, with properties calculated at the PBE level.

a b c (Å): 5.5043 5.5043 5.5043
angles (deg): 60.00 60.00 60.00
Closest atoms and distances in Å follow each position.
Fractional coordinates of all 3 atoms:
Cs 0.0000 0.0000 0.0000  4 Sn 3.37, 4 Re 3.37
Re 0.7500 0.7500 0.7500  4 Cs 3.37
Sn 0.2500 0.2500 0.2500  4 Cs 3.37

Results
crystal system = cubic
space group = F-43m

***

In order of decreasing stability: arrangement ii, arrangement i, arrangement iii.

***

Arrangement i

Below is a geometry-optimized CsURe structure, with properties calculated at the PBE level.

a b c (Å): 4.9126 4.9126 4.9126
angles (deg): 60.00 60.00 60.00
Closest atoms and distances in Å follow each position.
Fractional coordinates of all 3 atoms:
Cs 0.0000 0.0000 0.0000  4 Re 3.01
U 0.5000 0.5000 0.5000  4 Re 3.01
Re 0.7500 0.7500 0.7500  4 Cs 3.01, 4 U 3.01

Results
crystal system = cubic
space group = F-43m

***

Arrangement ii

Below is a geometry-optimized CsURe structure, with properties calculated at the PBE level.

a b c (Å): 4.7940 4.7940 4.7940
angles (deg): 60.00 60.00 60.00
Closest atoms and distances in Å follow each position.
Fractional coordinates of all 3 atoms:
Cs 0.0000 0.0000 0.0000  4 Re 2.94, 4 U 2.94
U 0.7500 0.7500 0.7500  4 Cs 2.94
Re 0.2500 0.2500 0.2500  4 Cs 2.94

Results
crystal system = cubic
space group = F-43m

***

In order of decreasing stability: arrangement i, arrangement ii.

***

Arrangement i

Below is a geometry-optimized CsZrRe structure, with properties calculated at the PBE level.

a b c (Å): 4.6964 4.6964 4.6964
angles (deg): 60.00 60.00 60.00
Closest atoms and distances in Å follow each position.
Fractional coordinates of all 3 atoms:
Cs 0.0000 0.0000 0.0000  4 Zr 2.88, 4 Re 2.88
Zr 0.2500 0.2500 0.2500  4 Cs 2.88
Re 0.7500 0.7500 0.7500  4 Cs 2.88

Results
crystal system = cubic
space group = F-43m

***

Arrangement ii

Below is a geometry-optimized CsZrRe structure, with properties calculated at the PBE level.

a b c (Å): 4.8189 4.8189 4.8189
angles (deg): 60.00 60.00 60.00
Closest atoms and distances in Å follow each position.
Fractional coordinates of all 3 atoms:
Cs 0.0000 0.0000 0.0000  4 Re 2.95
Zr 0.5000 0.5000 0.5000  4 Re 2.95
Re 0.2500 0.2500 0.2500  4 Zr 2.95, 4 Cs 2.95

Results
crystal system = cubic
space group = F-43m

***

In order of decreasing stability: arrangement ii, arrangement i.

***

Arrangement i

Below is a geometry-optimized CsTmSnS3 structure, with properties calculated at the PBE level.

a b c (Å): 9.0717 9.0717 11.3245
angles (deg): 90.00 90.00 154.87
Closest atoms and distances in Å follow each position.
Fractional coordinates of all 12 atoms:
Cs 0.1906 0.8094 0.7500  2 S 3.29
Cs 0.8094 0.1906 0.2500  2 S 3.29
Tm 0.5000 0.5000 0.0000  6 S 2.68-2.83
Tm 0.5000 0.5000 0.5000  6 S 2.68-2.83
Sn 0.1082 0.8918 0.2500  4 S 2.65-2.77
Sn 0.8918 0.1082 0.7500  4 S 2.65-2.77
S 0.1021 0.8979 0.0053  2 Tm 2.68, 1 Sn 2.77
S 0.1021 0.8979 0.4947  2 Tm 2.68, 1 Sn 2.77
S 0.4918 0.5082 0.7500  2 Sn 2.65, 2 Tm 2.83
S 0.5082 0.4918 0.2500  2 Sn 2.65, 2 Tm 2.83
S 0.8979 0.1021 0.5053  2 Tm 2.68, 1 Sn 2.77
S 0.8979 0.1021 0.9947  2 Tm 2.68, 1 Sn 2.77

Results
crystal system = orthorhombic
space group = Cmcm

***

Arrangement ii

Below is a geometry-optimized CsTmSnS3 structure, with properties calculated at the PBE level.

a b c (Å): 16.1047 4.0298 11.8097
angles (deg): 90.00 90.00 90.00
Closest atoms and distances in Å follow each position.
Fractional coordinates of all 24 atoms:
Cs 0.2342 0.2500 0.0866  5 S 3.49-3.73, 1 Sn 3.81
Cs 0.2658 0.7500 0.5866  5 S 3.49-3.73, 1 Sn 3.81
Cs 0.7342 0.2500 0.4134  5 S 3.49-3.73, 1 Sn 3.81
Cs 0.7658 0.7500 0.9134  5 S 3.49-3.73, 1 Sn 3.81
Tm 0.0055 0.7500 0.6400  6 S 2.65-2.78
Tm 0.4945 0.2500 0.1400  6 S 2.65-2.78
Tm 0.5055 0.7500 0.8600  6 S 2.65-2.78
Tm 0.9945 0.2500 0.3600  6 S 2.65-2.78
Sn 0.0399 0.2500 0.9031  3 S 2.53-2.64
Sn 0.4601 0.7500 0.4031  3 S 2.53-2.64
Sn 0.5399 0.2500 0.5969  3 S 2.53-2.64
Sn 0.9601 0.7500 0.0969  3 S 2.53-2.64
S 0.0758 0.7500 0.2413  1 Sn 2.53, 2 Tm 2.78
S 0.0917 0.2500 0.5412  3 Tm 2.65-2.71
S 0.1227 0.7500 0.8130  2 Sn 2.64, 1 Tm 2.78
S 0.3773 0.2500 0.3130  2 Sn 2.64, 1 Tm 2.78
S 0.4083 0.7500 0.0412  3 Tm 2.65-2.71
S 0.4242 0.2500 0.7413  1 Sn 2.53, 2 Tm 2.78
S 0.5758 0.7500 0.2587  1 Sn 2.53, 2 Tm 2.78
S 0.5917 0.2500 0.9588  3 Tm 2.65-2.71
S 0.6227 0.7500 0.6870  2 Sn 2.64, 1 Tm 2.78
S 0.8773 0.2500 0.1870  2 Sn 2.64, 1 Tm 2.78
S 0.9083 0.7500 0.4588  3 Tm 2.65-2.71
S 0.9242 0.2500 0.7587  1 Sn 2.53, 2 Tm 2.78

Results
crystal system = orthorhombic
space group = Pnma

***

In order of decreasing stability: arrangement ii, arrangement i.

***

Arrangement i

Below is a geometry-optimized CsSbW structure, with properties calculated at the PBE level.

a b c (Å): 5.5266 5.5266 5.5266
angles (deg): 60.00 60.00 60.00
Closest atoms and distances in Å follow each position.
Fractional coordinates of all 3 atoms:
Cs 0.0000 0.0000 0.0000  4 Sb 3.38, 4 W 3.38
Sb 0.7500 0.7500 0.7500  4 Cs 3.38
W 0.2500 0.2500 0.2500  4 Cs 3.38

Results
crystal system = cubic
space group = F-43m

***

Arrangement ii

Below is a geometry-optimized CsSbW structure, with properties calculated at the PBE level.

a b c (Å): 4.8845 4.8845 4.8845
angles (deg): 60.00 60.00 60.00
Closest atoms and distances in Å follow each position.
Fractional coordinates of all 3 atoms:
Cs 0.0000 0.0000 0.0000  4 W 2.99
Sb 0.5000 0.5000 0.5000  4 W 2.99
W 0.2500 0.2500 0.2500  4 Sb 2.99, 4 Cs 2.99

Results
crystal system = cubic
space group = F-43m

***

In order of decreasing stability: arrangement ii, arrangement i.

***

Arrangement i

Below is a geometry-optimized CsScW structure, with properties calculated at the PBE level.

a b c (Å): 5.0072 5.0072 5.0072
angles (deg): 60.00 60.00 60.00
Closest atoms and distances in Å follow each position.
Fractional coordinates of all 3 atoms:
Cs 0.0000 0.0000 0.0000  4 W 3.07
Sc 0.5000 0.5000 0.5000  4 W 3.07
W 0.2500 0.2500 0.2500  4 Sc 3.07, 4 Cs 3.07

Results
crystal system = cubic
space group = F-43m

***

Arrangement ii

Below is a geometry-optimized CsScW structure, with properties calculated at the PBE level.

a b c (Å): 4.8259 4.8259 4.8259
angles (deg): 60.00 60.00 60.00
Closest atoms and distances in Å follow each position.
Fractional coordinates of all 3 atoms:
Cs 0.0000 0.0000 0.0000  4 W 2.96, 4 Sc 2.96
Sc 0.7500 0.7500 0.7500  4 Cs 2.96
W 0.2500 0.2500 0.2500  4 Cs 2.96

Results
crystal system = cubic
space group = F-43m

***

In order of decreasing stability: arrangement i, arrangement ii.